Density functional theory data (PBE) for CsTl2Te after structural relaxation.

## Properties
total magnetization = 0.0 μB per formula unit
total DFT energy (no corrections) = -2.60 eV/atom
V = 172.4 Å³/f.u.
excess energy over the best structure of this formula in the dataset = 0.0 meV per atom

Cell lengths 6.2163, 6.7176, 8.2561 Å; angles 90.00, 90.00, 90.00 degrees
Last column: nearest neighbours and their distance in Å.
Fractional positions:
Tl (0.5000, 0.7473, 0.1067)  1 Te 3.28, 4 Tl 3.32-3.57
Tl (0.0000, 0.7527, 0.8933)  1 Te 3.28, 4 Tl 3.32-3.57
Tl (0.5000, 0.2527, 0.1067)  1 Te 3.28, 4 Tl 3.32-3.57
Tl (0.0000, 0.2473, 0.8933)  1 Te 3.28, 4 Tl 3.32-3.57
Te (0.0000, 0.5000, 0.2330)  2 Tl 3.28
Te (0.5000, 0.0000, 0.7670)  2 Tl 3.28
Cs (0.0000, 0.0000, 0.4418)  4 Te 3.78-4.11, 2 Tl 4.08
Cs (0.5000, 0.5000, 0.5582)  4 Te 3.78-4.11, 2 Tl 4.08



Density functional theory data (PBE) for NaPuCd2 after structural relaxation.

## Properties
total magnetization = 6.0 μB per formula unit
total DFT energy (no corrections) = -4.41 eV/atom
V = 100.5 Å³/f.u.
DFT formation energy = -0.04 eV per atom
excess energy over the best structure of this formula in the dataset = 0.0 meV per atom

Cell lengths 3.1757, 3.1757, 9.9626 Å; angles 90.00, 90.00, 90.00 degrees
Last column: nearest neighbours and their distance in Å.
Fractional positions:
Cd (0.0000, 0.0000, 0.2496)  4 Cd 3.18, 4 Pu 3.35, 4 Na 3.36
Cd (0.0000, 0.0000, 0.7504)  4 Cd 3.18, 4 Pu 3.35, 4 Na 3.36
Pu (0.5000, 0.5000, 0.0000)  4 Pu 3.18, 8 Cd 3.35
Na (0.5000, 0.5000, 0.5000)  4 Na 3.18, 8 Cd 3.36



Density functional theory data (PBE) for CsS after structural relaxation.

## Properties
total magnetization = 1.0 μB per formula unit
total DFT energy (no corrections) = -2.81 eV/atom
V = 111.0 Å³/f.u.

Cell lengths 6.1053, 6.1053, 6.8750 Å; angles 90.00, 90.00, 120.00 degrees
Last column: nearest neighbours and their distance in Å.
Fractional positions:
S (0.3333, 0.6667, 0.2500)  5 Cs 3.44-3.52
S (0.6667, 0.3333, 0.7500)  5 Cs 3.44-3.52
Cs (0.3333, 0.6667, 0.7500)  5 S 3.44-3.52
Cs (0.6667, 0.3333, 0.2500)  5 S 3.44-3.52



Density functional theory data (PBE) for GaCuBr6 after structural relaxation.

## Properties
total magnetization = 1.9 μB per formula unit
total DFT energy (no corrections) = -2.53 eV/atom
V = 270.9 Å³/f.u.
excess energy over the best structure of this formula in the dataset = 0.0 meV per atom

Cell lengths 6.7209, 7.1138, 7.1727 Å; angles 77.90, 63.65, 61.81 degrees
Last column: nearest neighbours and their distance in Å.
Fractional positions:
Br (0.1114, 0.7255, 0.2714)  1 Cu 2.44, 1 Ga 2.55
Br (0.1631, 0.7255, 0.7286)  1 Cu 2.44, 1 Ga 2.55
Br (0.8369, 0.2745, 0.2714)  1 Cu 2.44, 1 Ga 2.55
Br (0.4324, 0.0000, 0.8347)  1 Ga 2.61, 1 Br 2.89
Br (0.8886, 0.2745, 0.7286)  1 Cu 2.44, 1 Ga 2.55
Br (0.5676, 0.0000, 0.1653)  1 Ga 2.61, 1 Br 2.89
Ga (0.0000, 0.0000, 0.0000)  6 Br 2.55-2.61
Cu (0.0000, 0.0000, 0.5000)  4 Br 2.44



Density functional theory data (PBE) for ScInPdPb2 after structural relaxation.

## Properties
total magnetization = 0.0 μB per formula unit
total DFT energy (no corrections) = -3.54 eV/atom
V = 168.4 Å³/f.u.
DFT formation energy = 0.79 eV per atom

Cell lengths 5.5620, 5.4432, 5.5620 Å; angles 90.00, 90.00, 90.00 degrees
Last column: nearest neighbours and their distance in Å.
Fractional positions:
Pb (0.5000, 0.0000, 0.0000)  2 In 2.78
Pb (0.0000, 0.0000, 0.5000)  2 In 2.78
Pd (0.5000, 0.5000, 0.5000)  8 Pb 3.89, 4 Sc 3.93
In (0.0000, 0.0000, 0.0000)  2 Sc 2.72, 4 Pb 2.78
Sc (0.0000, 0.5000, 0.0000)  2 In 2.72



Density functional theory data (PBE) for CeSm6In5 after structural relaxation.

## Properties
total magnetization = 1.9 μB per formula unit
total DFT energy (no corrections) = -4.37 eV/atom
V = 345.5 Å³/f.u.
DFT formation energy = -0.37 eV per atom

Cell lengths 5.0924, 10.1823, 9.2269 Å; angles 56.51, 73.98, 60.00 degrees
Last column: nearest neighbours and their distance in Å.
Fractional positions:
Sm (0.7656, 0.7344, 0.0000)  6 In 3.28-3.36, 2 Ce 3.46, 4 Sm 3.65
Sm (0.7416, 0.0884, 0.3401)  7 In 3.32-3.44, 1 Ce 3.47, 4 Sm 3.54-3.65
Sm (0.2584, 0.9116, 0.6599)  7 In 3.32-3.44, 1 Ce 3.47, 4 Sm 3.54-3.65
Sm (0.2344, 0.2656, 0.0000)  6 In 3.28-3.36, 2 Ce 3.46, 4 Sm 3.65
Sm (0.2584, 0.5715, 0.3401)  7 In 3.32-3.44, 1 Ce 3.47, 4 Sm 3.54-3.65
Sm (0.7416, 0.4285, 0.6599)  7 In 3.32-3.44, 1 Ce 3.47, 4 Sm 3.54-3.65
In (0.0000, 0.6719, 0.6561)  8 Sm 3.32-3.36, 4 In 3.67-3.69
In (0.5000, 0.1543, 0.6914)  8 Sm 3.34-3.44, 2 Ce 3.48, 2 In 3.69
In (0.0000, 0.3281, 0.3439)  8 Sm 3.32-3.36, 4 In 3.67-3.69
In (0.5000, 0.8457, 0.3086)  8 Sm 3.34-3.44, 2 Ce 3.48, 2 In 3.69
In (0.5000, 0.5000, 0.0000)  8 Sm 3.28-3.37, 4 In 3.67
Ce (0.0000, 0.0000, 0.0000)  8 Sm 3.46-3.47, 4 In 3.48



Density functional theory data (PBE) for NiMoC after structural relaxation.

## Properties
total magnetization = 0.0 μB per formula unit
total DFT energy (no corrections) = -8.50 eV/atom
V = 33.6 Å³/f.u.
DFT formation energy = 0.12 eV per atom
excess energy over the best structure of this formula in the dataset = 61.4 meV per atom

Cell lengths 4.6103, 2.9554, 9.9326 Å; angles 90.00, 96.76, 90.00 degrees
Last column: nearest neighbours and their distance in Å.
Fractional positions:
Mo (0.0547, 0.5000, 0.2045)  4 C 2.12-2.20
Mo (0.6310, 0.5000, 0.3663)  3 C 2.05-2.12
Mo (0.6310, 0.0000, 0.8663)  3 C 2.05-2.12
Mo (0.0547, 0.0000, 0.7045)  4 C 2.12-2.20
C (0.9376, 0.5000, 0.5426)  3 Ni 1.99-2.00, 3 Mo 2.12-2.20
C (0.9376, 0.0000, 0.0426)  3 Ni 1.99-2.00, 3 Mo 2.12-2.20
C (0.3497, 0.0000, 0.2896)  2 Ni 1.98-1.99, 4 Mo 2.05-2.12
C (0.3497, 0.5000, 0.7896)  2 Ni 1.98-1.99, 4 Mo 2.05-2.12
Ni (0.1307, 0.5000, 0.9510)  3 C 1.99-2.00
Ni (0.5705, 0.5000, 0.6304)  2 C 1.98-1.99
Ni (0.1307, 0.0000, 0.4510)  3 C 1.99-2.00
Ni (0.5705, 0.0000, 0.1304)  2 C 1.98-1.99



Density functional theory data (PBE) for BeReF after structural relaxation.

## Properties
total magnetization = 0.0 μB per formula unit
total DFT energy (no corrections) = -7.05 eV/atom
V = 43.7 Å³/f.u.
excess energy over the best structure of this formula in the dataset = 35.4 meV per atom

Cell lengths 2.6929, 2.6932, 24.2549 Å; angles 90.00, 96.20, 90.00 degrees
Last column: nearest neighbours and their distance in Å.
Fractional positions:
Be (0.4079, 0.5000, 0.2176)  4 F 1.58
Be (0.6431, 0.5000, 0.9670)  8 Re 2.35
Be (0.6431, 0.0000, 0.4670)  8 Re 2.35
Be (0.4079, 0.0000, 0.7176)  4 F 1.58
Re (0.0876, 0.0000, 0.9099)  4 Be 2.35
Re (0.1989, 0.0000, 0.0242)  4 Be 2.35
Re (0.1989, 0.5000, 0.5242)  4 Be 2.35
Re (0.0876, 0.5000, 0.4099)  4 Be 2.35
F (0.3745, 0.0000, 0.1834)  2 Be 1.58
F (0.3745, 0.5000, 0.6834)  2 Be 1.58
F (0.9412, 0.5000, 0.2518)  2 Be 1.58
F (0.9412, 0.0000, 0.7518)  2 Be 1.58



Density functional theory data (PBE) for Dy2ZnNi3 after structural relaxation.

## Properties
total magnetization = 0.0 μB per formula unit
total DFT energy (no corrections) = -5.04 eV/atom
V = 97.4 Å³/f.u.
DFT formation energy = -0.40 eV per atom
excess energy over the best structure of this formula in the dataset = 0.0 meV per atom

Cell lengths 5.2589, 5.2589, 5.0718 Å; angles 90.06, 121.20, 119.96 degrees
Last column: nearest neighbours and their distance in Å.
Fractional positions:
Ni (0.0000, 0.0000, 0.5000)  2 Zn 2.54, 4 Ni 2.63
Ni (0.5000, 0.0000, 0.5000)  2 Zn 2.54, 4 Ni 2.63
Ni (0.5000, 0.5000, 0.5000)  2 Zn 2.54, 4 Ni 2.63
Dy (0.7478, 0.3740, 0.1218)  9 Ni 2.95-3.05, 4 Dy 3.07-3.19, 3 Zn 3.08
Dy (0.2522, 0.6260, 0.8782)  9 Ni 2.95-3.05, 4 Dy 3.07-3.19, 3 Zn 3.08
Zn (0.0000, 0.0000, 0.0000)  6 Ni 2.54



Density functional theory data (PBE) for CsPdSe after structural relaxation.

## Properties
total magnetization = 0.0 μB per formula unit
total DFT energy (no corrections) = -3.82 eV/atom
V = 92.5 Å³/f.u.

Cell lengths 5.6878, 4.3329, 4.3329 Å; angles 120.00, 90.00, 90.00 degrees
Last column: nearest neighbours and their distance in Å.
Fractional positions:
Se (0.1665, 0.0000, 0.0000)  3 Pd 2.50
Pd (0.1668, 0.3333, 0.6667)  3 Se 2.50
Cs (0.6667, 0.6667, 0.3333)  6 Se 3.79, 6 Pd 3.79



What is the formula in the eighth record?
BeReF



What is the formula in the first record?
CsTl2Te



What is the total magnetization in the eighth record?
0.0 μB per formula unit



What is the total magnetization in the fifth record?
0.0 μB per formula unit